{"formula": "Rb2CeH2O2", "functional": "PBE-GGA", "state": "optimized geometry", "final_energy_ev_per_atom": -5.03, "lattice": [[4.4064, 0.0000, 0.0000], [0.0000, 4.4064, 0.0000], [-2.2032, -2.2032, 7.5471]], "species": ["Rb", "Rb", "Ce", "H", "H", "O", "O"], "fractional_positions": [[0.3540, 0.3540, 0.7080], [0.6460, 0.6460, 0.2920], [0.0000, 0.0000, 0.0000], [0.1570, 0.1570, 0.3140], [0.8430, 0.8430, 0.6860], [0.0000, 0.5000, 0.0000], [0.5000, 0.0000, 0.0000]]}